Entry from the Alexandria database: a relaxed BiPOs2Br crystal (GGA-PBE).

```
5
Lattice="4.408 0.000 0.000 0.000 5.638 0.000 0.000 0.000 4.408" Properties=species:S:1:pos:R:3 pbc="T T T"
Bi 2.204 2.819 2.204
Br 0.000 2.819 0.000
Os 0.000 0.000 2.204
Os 2.204 0.000 0.000
P 0.000 0.000 0.000
```

Properties
- Raw formation energy: 1.05 eV per atom
- SG: P4/mmm, No. 123
- VASP energy: -28.16 eV/cell

***

Entry from the Alexandria database: a relaxed ThSc2As crystal (GGA-PBE).

```
4
Lattice="3.577 0.000 0.000 0.000 3.577 0.000 0.000 0.000 7.138" Properties=species:S:1:pos:R:3 pbc="T T T"
Th 1.788 1.788 3.569
As 1.788 1.788 0.000
Sc 0.000 0.000 1.446
Sc 0.000 0.000 5.692
```

Properties
- SG: P4/mmm, No. 123
- VASP energy: -27.03 eV/cell

***

Entry from the Alexandria database: a relaxed Ti3Ni2H crystal (GGA-PBE).

```
12
Lattice="-3.356 -1.224 2.042 -0.352 -4.774 -3.438 5.234 -2.010 3.250" Properties=species:S:1:pos:R:3 pbc="T T T"
Ni -0.390 -2.729 1.868
Ni 2.092 -2.892 1.705
Ni 1.917 -5.279 -0.014
Ni -0.566 -5.116 0.149
Ti -1.942 -4.193 -1.558
Ti 0.768 -3.041 -0.560
Ti 0.592 -5.428 -2.279
Ti -1.766 -1.805 0.162
Ti 0.758 -4.967 2.414
Ti 0.934 -2.580 4.133
H -0.088 -1.194 -0.860
H -3.619 -4.804 -0.536
```

Properties
- SG: C2/m, No. 12
- VASP energy: -80.72 eV/cell

***

Entry from the Alexandria database: a relaxed TbPuN crystal (GGA-PBE).

```
3
Lattice="4.270 0.000 0.000 2.135 3.698 0.000 2.135 1.233 3.487" Properties=species:S:1:pos:R:3 pbc="T T T"
Tb 4.270 2.466 1.743
Pu 0.000 0.000 0.000
N 2.135 1.233 0.872
```

Properties
- Raw formation energy: -0.20 eV per atom
- SG: F-43m, No. 216
- VASP energy: -27.89 eV/cell
- Offset from the most stable computed form: 0.624 eV per atom

***

Entry from the Alexandria database: a relaxed CaAlGeF crystal (GGA-PBE).

```
8
Lattice="4.039 0.000 0.000 0.000 4.039 0.000 0.000 0.000 9.054" Properties=species:S:1:pos:R:3 pbc="T T T"
Ca 2.019 0.000 5.795
Ca 0.000 2.019 3.258
F 0.000 0.000 4.527
F 2.019 2.019 4.527
Ge 2.019 0.000 1.629
Ge 0.000 2.019 7.425
Al 2.019 2.019 0.000
Al 0.000 0.000 0.000
```

Properties
- Raw formation energy: -1.68 eV per atom
- SG: P4/nmm, No. 129
- VASP energy: -37.94 eV/cell

***

Entry from the Alexandria database: a relaxed Nd3CdAg crystal (GGA-PBE).

```
20
Lattice="-2.834 -5.437 -2.911 3.570 -3.294 -4.740 6.207 -12.134 7.518" Properties=species:S:1:pos:R:3 pbc="T T T"
Cd 4.591 -15.299 2.526
Cd 3.581 -8.532 -1.831
Cd 3.362 -12.333 1.697
Cd 2.352 -5.565 -2.659
Nd 0.557 -7.971 -4.676
Nd 0.962 -3.950 0.085
Nd 1.344 -10.456 -0.180
Nd 4.959 -13.604 -1.288
Nd 4.709 -9.802 3.661
Nd 7.972 -15.343 2.572
Nd 5.599 -10.409 0.047
Nd 6.386 -12.893 4.542
Nd 5.980 -16.914 -0.219
Nd -1.029 -5.521 -2.706
Nd 1.984 -7.261 1.154
Nd 2.234 -11.063 -3.794
Ag -1.417 -2.718 -1.456
Ag 0.719 -7.801 -1.603
Ag 4.889 -7.714 1.389
Ag 6.224 -13.064 1.470
```

Properties
- SG: C2/c, No. 15
- VASP energy: -73.53 eV/cell
- Offset from the most stable computed form: 0.150 eV per atom

***

Entry from the Alexandria database: a relaxed Tb2Th4Rh9 crystal (GGA-PBE).

```
15
Lattice="4.645 0.000 0.000 -2.323 4.023 0.000 0.000 0.000 17.121" Properties=species:S:1:pos:R:3 pbc="T T T"
Rh 0.000 0.000 11.458
Rh 0.000 0.000 14.318
Rh 0.000 2.682 15.941
Rh 0.000 2.682 9.952
Rh 2.323 1.341 1.180
Rh 2.323 1.341 7.169
Rh 0.000 0.000 2.803
Rh 0.000 0.000 8.561
Rh 0.000 0.000 5.663
Tb 0.000 2.682 12.865
Tb 2.323 1.341 4.257
Th 0.000 2.682 1.759
Th 0.000 2.682 6.914
Th 2.323 1.341 10.208
Th 2.323 1.341 15.362
```

Properties
- SG: P-3m1, No. 164
- VASP energy: -116.64 eV/cell

***

Entry from the Alexandria database: a relaxed Mg6Tl8In crystal (GGA-PBE).

```
15
Lattice="-6.639 1.276 -4.463 -0.201 -3.920 -7.087 -5.170 -6.227 -0.355" Properties=species:S:1:pos:R:3 pbc="T T T"
Tl -7.085 -4.852 -3.147
Tl -3.285 -5.727 -6.328
Tl -4.926 -4.019 -8.759
Tl -7.983 -5.896 -7.913
Tl -4.028 -2.975 -3.993
Tl -5.992 -1.505 -6.743
Tl -6.019 -7.366 -5.162
Tl -8.726 -3.143 -5.578
Mg -5.275 -7.225 -8.259
Mg -6.736 -1.646 -3.647
Mg -7.938 -2.974 -8.740
Mg -4.073 -5.896 -3.166
Mg -9.095 -6.276 -5.113
Mg -2.916 -2.595 -6.793
In 0.000 0.000 0.000
```

Properties
- SG: R-3, No. 148
- VASP energy: -30.93 eV/cell

***

Entry from the Alexandria database: a relaxed SrMg2Ga9 crystal (GGA-PBE).

```
12
Lattice="5.595 0.000 1.665 2.550 4.980 1.665 0.355 0.217 9.041" Properties=species:S:1:pos:R:3 pbc="T T T"
Ga 3.383 2.069 3.715
Ga 3.106 1.900 10.026
Ga 5.116 3.128 8.656
Ga 5.393 3.297 2.345
Ga 2.173 3.128 7.781
Ga 4.724 4.688 4.590
Ga 3.775 0.509 7.781
Ga 6.326 2.069 4.590
Ga 4.250 2.598 6.186
Sr 0.000 0.000 0.000
Mg 1.365 0.835 5.646
Mg 7.134 4.362 6.725
```

Properties
- SG: R-3m, No. 166
- VASP energy: -33.71 eV/cell

***

Entry from the Alexandria database: a relaxed ErBRu3 crystal (GGA-PBE).

```
10
Lattice="-1.339 -2.776 -0.467 1.535 -1.845 6.562 -6.283 3.054 -0.136" Properties=species:S:1:pos:R:3 pbc="T T T"
Ru -2.809 0.352 5.960
Ru 0.014 -0.367 2.140
Ru -0.670 -1.388 -0.234
Ru -1.939 0.857 0.466
Ru -4.762 1.576 4.286
Ru -2.374 0.605 3.213
Er -4.669 0.235 1.587
Er -1.419 -1.802 4.372
B -2.046 -1.037 1.629
B -4.041 -0.529 4.330
```

Properties
- SG: Cmmm, No. 65
- VASP energy: -81.08 eV/cell

***

Entry from the Alexandria database: a relaxed BiSbIr3 crystal (GGA-PBE).

```
5
Lattice="4.993 0.000 0.000 0.000 4.993 0.000 0.000 0.000 4.993" Properties=species:S:1:pos:R:3 pbc="T T T"
Bi 0.000 0.000 0.000
Sb 2.497 2.497 2.497
Ir 2.497 0.000 0.000
Ir 0.000 2.497 0.000
Ir 0.000 0.000 2.497
```

Properties
- Raw formation energy: 1.84 eV per atom
- SG: Pm-3m, No. 221
- VASP energy: -25.41 eV/cell
- Offset from the most stable computed form: 0.553 eV per atom

***

Entry from the Alexandria database: a relaxed CeNbV2 crystal (GGA-PBE).

```
4
Lattice="2.980 0.000 0.000 1.490 2.581 0.000 1.490 0.860 9.274" Properties=species:S:1:pos:R:3 pbc="T T T"
V 1.490 0.860 6.648
V 4.471 2.581 2.626
Nb 2.980 1.721 4.637
Ce 0.000 0.000 0.000
```

Properties
- SG: R-3m, No. 166
- VASP energy: -32.41 eV/cell
- Offset from the most stable computed form: 0.191 eV per atom

***

Q: The highest VASP energy belongs to which entry?
A: BiSbIr3

***

Q: Number 2 is which compound?
A: ThSc2As

***

Q: The lowest VASP energy belongs to which entry?
A: Tb2Th4Rh9